# meta-GGA SCAN K2SrTa, PBEsol geometry
data_K2SrTa
_space_group_name_H-M_alt 'R -3 m'
_space_group_IT_number 166
_space_group_name_Hall '-R 3 2"'
_cell_length_a 3.3862
_cell_length_b 3.3862
_cell_length_c 41.4517
_cell_angle_alpha 90.00
_cell_angle_beta 90.00
_cell_angle_gamma 120.00
loop_
_atom_site_label
_atom_site_type_symbol
_atom_site_fract_x
_atom_site_fract_y
_atom_site_fract_z
K1 K 0.0000 0.0000 0.2400
Sr1 Sr 0.0000 0.0000 0.0000
Ta1 Ta 0.0000 0.0000 0.5000
# Excess energy over the best structure of this formula in the dataset   246 meV per atom
# Theoretical density   4.20 Mg/m³
# Magnetic moment   5.61 μB per cell
# Calculated formation energy   5.1 eV/f.u.